Computed, not measured: an optimized crystal structure of Li2ZrRh at the GGA-PBE level of DFT.

Structure (POSCAR):
```
Li2ZrRh
1.0
2.8519 0.0000 0.0000
0.0000 4.3046 0.0000
0.0000 0.0000 5.2028
Li Rh Zr
2 1 1
direct
0.0000 0.0000 0.0378
0.0000 0.0000 0.4622
0.5000 0.5000 0.2500
0.5000 0.5000 0.7500
```

Properties
Volume ... 16.0 Å³/atom
Crystal system ... orthorhombic
Electronic total energy ... -20.1 eV per formula unit
N(E_F) ... 0.341 states/eV/atom
Formation enthalpy at 0 K ... -0.1031 eV per atom
Energy above the most stable polymorph in this dataset ... 168 meV per atom
SG ... Pmmm, No. 47

***

Computed, not measured: an optimized crystal structure of LiZrRh at the GGA-PBE level of DFT.

Structure (POSCAR):
```
LiZrRh
1.0
2.9441 0.0000 0.0000
-1.4721 2.5497 0.0000
0.0000 0.0000 7.0433
Li Rh Zr
1 1 1
direct
0.0000 0.0000 0.0338
0.3333 0.6667 0.3251
0.6667 0.3333 0.6412
```

Properties
Volume ... 17.6 Å³/atom
Crystal system ... trigonal
Electronic total energy ... -18.0 eV per formula unit
N(E_F) ... 1.048 states/eV/atom
Formation enthalpy at 0 K ... -0.0633 eV per atom
Energy above the most stable polymorph in this dataset ... 408 meV per atom
SG ... P3m1, No. 156

***

Computed, not measured: an optimized crystal structure of LiZrRh at the GGA-PBE level of DFT.

Structure (POSCAR):
```
LiZrRh
1.0
4.3693 0.0000 0.0000
2.1846 3.7839 0.0000
2.1846 1.2613 3.5675
Li Rh Zr
1 1 1
direct
0.0000 0.0000 0.0000
0.5000 0.5000 0.5000
0.7500 0.7500 0.7500
```

Properties
Volume ... 19.7 Å³/atom
Crystal system ... cubic
Electronic total energy ... -17.4 eV per formula unit
N(E_F) ... 0.076 states/eV/atom
Formation enthalpy at 0 K ... 0.1418 eV per atom
Energy above the most stable polymorph in this dataset ... 613 meV per atom
SG ... F-43m, No. 216

***

Computed, not measured: an optimized crystal structure of Li2ZrRh at the GGA-PBE level of DFT.

Structure (POSCAR):
```
Li2ZrRh
1.0
4.9167 0.0148 0.0000
-2.2542 4.3695 0.0000
0.0000 0.0000 2.9968
Li Rh Zr
2 1 1
direct
0.0000 0.0000 0.0000
0.5000 0.5000 0.0000
0.5000 0.0000 0.5000
0.0000 0.5000 0.5000
```

Properties
Volume ... 16.1 Å³/atom
Crystal system ... orthorhombic
Electronic total energy ... -19.8 eV per formula unit
N(E_F) ... 0.516 states/eV/atom
Formation enthalpy at 0 K ... -0.0117 eV per atom
Energy above the most stable polymorph in this dataset ... 259 meV per atom
SG ... Cmmm, No. 65

***

Computed, not measured: an optimized crystal structure of LiRu at the GGA-PBE level of DFT.

Structure (POSCAR):
```
LiRu
1.0
-1.3291 -2.4543 -0.0204
2.4469 -1.3268 0.2066
-0.5132 0.2159 7.4644
Li Ru
2 2
direct
0.0000 0.0000 0.9844
0.5000 0.5000 0.2656
0.0000 0.0000 0.5160
0.5000 0.5000 0.7340
```

Properties
Volume ... 14.6 Å³/atom
Crystal system ... tetragonal
Electronic total energy ... -10.9 eV per formula unit
N(E_F) ... 1.098 states/eV/atom
Formation enthalpy at 0 K ... 0.1596 eV per atom
SG ... P4/nmm, No. 129

***

Computed, not measured: an optimized crystal structure of LiRu at the GGA-PBE level of DFT.

Structure (POSCAR):
```
LiRu
1.0
-1.0293 -6.8418 3.2358
6.7074 0.6881 3.5885
-2.1025 1.9941 3.5475
Li Ru
8 8
direct
0.9340 0.3085 0.0000
0.9340 0.6915 0.5000
0.0660 0.3085 0.5000
0.0660 0.6915 0.0000
0.6915 0.0660 0.5000
0.6915 0.9340 0.0000
0.3085 0.0660 0.0000
0.3085 0.9340 0.5000
0.7100 0.5889 0.0000
0.7100 0.4111 0.5000
0.2900 0.5889 0.5000
0.2900 0.4111 0.0000
0.4111 0.2900 0.5000
0.4111 0.7100 0.0000
0.5889 0.2900 0.0000
0.5889 0.7100 0.5000
```

Properties
Volume ... 16.7 Å³/atom
Crystal system ... tetragonal
Electronic total energy ... -10.5 eV per formula unit
N(E_F) ... 0.793 states/eV/atom
Formation enthalpy at 0 K ... 0.3367 eV per atom
SG ... P4/mcc, No. 124